First-principles (PBE) data for an optimized crystal structure of Y2Ga8Os, as listed in Alexandria via LeMat-Bulk.

Geometry as POSCAR:
```
Y2Ga8Os
1.0
4.309 0.000 0.000
0.000 4.309 0.000
0.000 0.000 11.267
Y Os Ga
2 1 8
Direct
0.000 0.000 0.307
0.000 0.000 0.693
0.000 0.000 0.000
0.000 0.500 0.500
0.500 0.000 0.500
0.500 0.500 0.309
0.500 0.500 0.691
0.000 0.500 0.121
0.500 0.000 0.121
0.000 0.500 0.879
0.500 0.000 0.879
```

Output
The calculated density is 7.35 g cm⁻³. For the total magnetization, the calculation gives 0.0 μB/f.u. The formation energy comes out at -4.90 eV per formula unit. The total energy is -0.178 hartree per atom.